Entry 1:
A plane-wave DFT calculation with PBE-GGA was carried out for Ho3Si2Pt7 after structural relaxation.

Space-group type   Cmmm, No. 65
Theoretical density   13.7 Mg/m³
ΔE_f (raw)   -0.998 eV per atom

a b c (Å): 3.9890 4.1052 14.3049
angles (deg): 98.25 90.00 90.00
Atoms (fractional coordinates):
Ho  0.5000  0.5000  0.0000
Ho  0.5000  0.7020  0.4040
Ho  0.5000  0.2980  0.5960
Si  0.0000  0.9171  0.8342
Si  0.0000  0.0829  0.1658
Pt  0.0000  0.3722  0.7443
Pt  0.0000  0.7878  0.5755
Pt  0.0000  0.0000  0.0000
Pt  0.0000  0.6278  0.2557
Pt  0.5000  0.1291  0.2582
Pt  0.5000  0.8709  0.7418
Pt  0.0000  0.2122  0.4245

Entry 2:
A plane-wave DFT calculation with PBE-GGA was carried out for AlHgPt2 after structural relaxation.

Distance to the lowest polymorph of the same formula   0.2294 eV per atom
Space-group type   P4/mmm, No. 123
Theoretical density   15.5 Mg/m³
Calculated formation energy   -1.44 eV per formula unit

a b c (Å): 4.1239 4.1230 3.8798
angles (deg): 90.00 90.00 90.00
Atoms (fractional coordinates):
Hg  0.0000  0.5000  0.5000
Pt  0.0000  0.0000  0.0000
Pt  0.5000  0.5000  0.0000
Al  0.5000  0.0000  0.5000